Record 1
DFT (PBE) results for an optimized crystal structure of Ho2Al2Co15.

a b c (Å): 6.2960 6.2960 6.2960
angles (deg): 82.64 82.64 82.64
Last column: nearest neighbours and their distance in Å.
Atoms (fractional coordinates):
Ho 0.1475 0.1475 0.1475  15 Co 2.87-3.16, 1 Al 3.01
Ho 0.8525 0.8525 0.8525  15 Co 2.87-3.16, 1 Al 3.01
Al 0.3940 0.3940 0.3940  12 Co 2.51-2.72, 1 Al 2.59
Al 0.6060 0.6060 0.6060  12 Co 2.51-2.72, 1 Al 2.59
Co 0.0000 0.5000 0.5000  8 Co 2.38-2.41, 2 Al 2.51
Co 0.1486 0.1486 0.6493  8 Co 2.41-2.57, 1 Al 2.59
Co 0.1486 0.6493 0.1486  8 Co 2.41-2.57, 1 Al 2.59
Co 0.2126 0.5000 0.7874  8 Co 2.38-2.57
Co 0.2126 0.7874 0.5000  8 Co 2.38-2.57
Co 0.3507 0.8514 0.8514  8 Co 2.41-2.57, 1 Al 2.59
Co 0.5000 0.0000 0.5000  8 Co 2.38-2.41, 2 Al 2.51
Co 0.5000 0.2126 0.7874  8 Co 2.38-2.57
Co 0.5000 0.5000 0.0000  8 Co 2.38-2.41, 2 Al 2.51
Co 0.5000 0.7874 0.2126  8 Co 2.38-2.57
Co 0.6493 0.1486 0.1486  8 Co 2.41-2.57, 1 Al 2.59
Co 0.7874 0.2126 0.5000  8 Co 2.38-2.57
Co 0.7874 0.5000 0.2126  8 Co 2.38-2.57
Co 0.8514 0.3507 0.8514  8 Co 2.41-2.57, 1 Al 2.59
Co 0.8514 0.8514 0.3507  8 Co 2.41-2.57, 1 Al 2.59

Computed properties:
Calculated density   8.6 g/cm³
Symmetry   R-3m (166)
Total magnetization   19.70 Bohr magnetons per cell
Formation energy   -0.178 eV/atom



Record 2
DFT (PBE) results for an optimized crystal structure of Ho2AlCo.

a b c (Å): 3.4047 3.4047 7.2208
angles (deg): 90.00 90.00 90.00
Last column: nearest neighbours and their distance in Å.
Atoms (fractional coordinates):
Ho 0.0000 0.0000 0.2246  4 Co 2.90, 4 Al 3.12, 1 Ho 3.24
Ho 0.0000 0.0000 0.7754  4 Co 2.90, 4 Al 3.12, 1 Ho 3.24
Al 0.5000 0.5000 0.5000  8 Ho 3.12, 4 Al 3.40
Co 0.5000 0.5000 0.0000  8 Ho 2.90

Computed properties:
Calculated density   8.2 g/cm³
Symmetry   P4/mmm (123)
Total magnetization   0.59 Bohr magnetons per cell
Formation energy   -0.297 eV/atom



Record 3
DFT (PBE) results for an optimized crystal structure of Ho3AlCo3.

a b c (Å): 5.3931 5.3931 12.9154
angles (deg): 90.00 90.00 136.11
Last column: nearest neighbours and their distance in Å.
Atoms (fractional coordinates):
Ho 0.0073 0.9927 0.7500  7 Co 2.83-3.02
Ho 0.2935 0.7065 0.6047  6 Co 2.85-2.92, 2 Al 3.19
Ho 0.2935 0.7065 0.8953  6 Co 2.85-2.92, 2 Al 3.19
Ho 0.7065 0.2935 0.1047  6 Co 2.85-2.92, 2 Al 3.19
Ho 0.7065 0.2935 0.3953  6 Co 2.85-2.92, 2 Al 3.19
Ho 0.9927 0.0073 0.2500  7 Co 2.83-3.02
Al 0.0000 0.0000 0.0000  4 Co 2.49
Al 0.0000 0.0000 0.5000  4 Co 2.49
Co 0.2943 0.7057 0.2500  2 Co 2.36
Co 0.4171 0.5829 0.0938  1 Co 2.36, 2 Al 2.49
Co 0.4171 0.5829 0.4062  1 Co 2.36, 2 Al 2.49
Co 0.5829 0.4171 0.5938  1 Co 2.36, 2 Al 2.49
Co 0.5829 0.4171 0.9062  1 Co 2.36, 2 Al 2.49
Co 0.7057 0.2943 0.7500  2 Co 2.36

Computed properties:
Calculated density   8.9 g/cm³
Symmetry   Cmcm (63)
Total magnetization   0.00 Bohr magnetons per cell
Formation energy   -0.362 eV/atom



Record 4
DFT (PBE) results for an optimized crystal structure of HoAl2Co.

a b c (Å): 14.5655 7.0232 5.4519
angles (deg): 90.00 90.00 90.00
Last column: nearest neighbours and their distance in Å.
Atoms (fractional coordinates):
Ho 0.1006 0.2500 0.2390  2 Co 2.84-2.87, 6 Al 3.04-3.15
Ho 0.1345 0.7500 0.0351  3 Co 2.75-2.99, 4 Al 3.06-3.08
Ho 0.3655 0.2500 0.5351  3 Co 2.75-2.99, 4 Al 3.06-3.08
Ho 0.3994 0.7500 0.7390  2 Co 2.84-2.87, 6 Al 3.04-3.15
Ho 0.6006 0.2500 0.2610  2 Co 2.84-2.87, 6 Al 3.04-3.15
Ho 0.6345 0.7500 0.4649  3 Co 2.75-2.99, 4 Al 3.06-3.08
Ho 0.8655 0.2500 0.9649  3 Co 2.75-2.99, 4 Al 3.06-3.08
Ho 0.8994 0.7500 0.7610  2 Co 2.84-2.87, 6 Al 3.04-3.15
Al 0.0444 0.0595 0.7220  3 Co 2.49-2.54, 2 Al 2.68-2.73
Al 0.0444 0.4405 0.7220  3 Co 2.49-2.54, 2 Al 2.68-2.73
Al 0.2119 0.5509 0.5466  3 Co 2.47-2.48, 1 Al 2.73
Al 0.2119 0.9491 0.5466  3 Co 2.47-2.48, 1 Al 2.73
Al 0.2881 0.0509 0.0466  3 Co 2.47-2.48, 1 Al 2.73
Al 0.2881 0.4491 0.0466  3 Co 2.47-2.48, 1 Al 2.73
Al 0.4556 0.5595 0.2220  3 Co 2.49-2.54, 2 Al 2.68-2.73
Al 0.4556 0.9405 0.2220  3 Co 2.49-2.54, 2 Al 2.68-2.73
Al 0.5444 0.0595 0.7780  3 Co 2.49-2.54, 2 Al 2.68-2.73
Al 0.5444 0.4405 0.7780  3 Co 2.49-2.54, 2 Al 2.68-2.73
Al 0.7119 0.5509 0.9534  3 Co 2.47-2.48, 1 Al 2.73
Al 0.7119 0.9491 0.9534  3 Co 2.47-2.48, 1 Al 2.73
Al 0.7881 0.0509 0.4534  3 Co 2.47-2.48, 1 Al 2.73
Al 0.7881 0.4491 0.4534  3 Co 2.47-2.48, 1 Al 2.73
Al 0.9556 0.5595 0.2780  3 Co 2.49-2.54, 2 Al 2.68-2.73
Al 0.9556 0.9405 0.2780  3 Co 2.49-2.54, 2 Al 2.68-2.73
Co 0.0726 0.7500 0.5114  6 Al 2.47-2.51, 1 Ho 2.75
Co 0.1908 0.2500 0.7780  6 Al 2.47-2.54
Co 0.3092 0.7500 0.2780  6 Al 2.47-2.54
Co 0.4274 0.2500 0.0114  6 Al 2.47-2.51, 1 Ho 2.75
Co 0.5726 0.7500 0.9886  6 Al 2.47-2.51, 1 Ho 2.75
Co 0.6908 0.2500 0.7220  6 Al 2.47-2.54
Co 0.8092 0.7500 0.2220  6 Al 2.47-2.54
Co 0.9274 0.2500 0.4886  6 Al 2.47-2.51, 1 Ho 2.75

Computed properties:
Calculated density   6.6 g/cm³
Symmetry   Pnma (62)
Total magnetization   0.00 Bohr magnetons per cell
Formation energy   -0.546 eV/atom



Record 5
DFT (PBE) results for an optimized crystal structure of Ho2AlCo.

a b c (Å): 4.9323 4.9323 4.9323
angles (deg): 60.00 60.00 60.00
Last column: nearest neighbours and their distance in Å.
Atoms (fractional coordinates):
Ho 0.2500 0.2500 0.2500  4 Co 3.02, 4 Al 3.02
Ho 0.7500 0.7500 0.7500  4 Al 3.02, 4 Co 3.02
Al 0.0000 0.0000 0.0000  8 Ho 3.02
Co 0.5000 0.5000 0.5000  8 Ho 3.02

Computed properties:
Calculated density   8.1 g/cm³
Symmetry   Fm-3m (225)
Total magnetization   1.00 Bohr magnetons per cell
Formation energy   -0.217 eV/atom



Record 6
DFT (PBE) results for an optimized crystal structure of HoAlCo2.

a b c (Å): 3.1008 3.1008 6.2086
angles (deg): 90.00 90.00 90.00
Last column: nearest neighbours and their distance in Å.
Atoms (fractional coordinates):
Ho 0.0000 0.0000 0.0000  8 Co 2.84, 4 Ho 3.10, 2 Al 3.10
Al 0.0000 0.0000 0.5000  8 Co 2.55
Co 0.5000 0.5000 0.2907  4 Al 2.55, 1 Co 2.60, 4 Ho 2.84
Co 0.5000 0.5000 0.7093  4 Al 2.55, 1 Co 2.60, 4 Ho 2.84

Computed properties:
Calculated density   8.6 g/cm³
Symmetry   P4/mmm (123)
Total magnetization   0.40 Bohr magnetons per cell
Formation energy   -0.262 eV/atom



Record 7
DFT (PBE) results for an optimized crystal structure of HoAl3Co.

a b c (Å): 4.4997 4.4997 4.4997
angles (deg): 90.00 90.00 90.00
Last column: nearest neighbours and their distance in Å.
Atoms (fractional coordinates):
Ho 0.0000 0.0000 0.0000  12 Al 3.18
Al 0.0000 0.5000 0.5000  2 Co 2.25
Al 0.5000 0.0000 0.5000  2 Co 2.25
Al 0.5000 0.5000 0.0000  2 Co 2.25
Co 0.5000 0.5000 0.5000  6 Al 2.25

Computed properties:
Calculated density   5.6 g/cm³
Symmetry   Pm-3m (221)
Total magnetization   0.00 Bohr magnetons per cell
Formation energy   -0.334 eV/atom



Record 8
DFT (PBE) results for an optimized crystal structure of Ho4AlCo.

a b c (Å): 7.6014 7.6014 5.9083
angles (deg): 99.64 99.64 111.49
Last column: nearest neighbours and their distance in Å.
Atoms (fractional coordinates):
Ho 0.0568 0.7251 0.9551  2 Co 2.70-2.71
Ho 0.2096 0.3685 0.6075  2 Co 2.91-3.01, 2 Al 3.10-3.21
Ho 0.2749 0.9432 0.5449  2 Co 2.70-2.71
Ho 0.3685 0.2096 0.1075  2 Co 2.91-3.01, 2 Al 3.10-3.21
Ho 0.6315 0.7904 0.8925  2 Co 2.91-3.01, 2 Al 3.10-3.21
Ho 0.7251 0.0568 0.4551  2 Co 2.70-2.71
Ho 0.7904 0.6315 0.3925  2 Co 2.91-3.01, 2 Al 3.10-3.21
Ho 0.9432 0.2749 0.0449  2 Co 2.70-2.71
Al 0.3762 0.6238 0.2500  8 Ho 3.10-3.24
Al 0.6238 0.3762 0.7500  8 Ho 3.10-3.24
Co 0.0009 0.9991 0.7500  8 Ho 2.70-3.01, 2 Co 2.95
Co 0.9991 0.0009 0.2500  8 Ho 2.70-3.01, 2 Co 2.95

Computed properties:
Calculated density   8.2 g/cm³
Symmetry   C2/c (15)
Total magnetization   0.00 Bohr magnetons per cell
Formation energy   -0.216 eV/atom



Record 9
DFT (PBE) results for an optimized crystal structure of Ho2AlCo2.

a b c (Å): 5.4094 5.4094 7.4956
angles (deg): 102.20 102.20 59.49
Last column: nearest neighbours and their distance in Å.
Atoms (fractional coordinates):
Ho 0.0006 0.7068 0.8536  6 Co 2.87-2.97, 2 Al 3.10-3.20
Ho 0.2932 0.9994 0.6464  6 Co 2.87-2.97, 2 Al 3.10-3.20
Ho 0.7068 0.0006 0.3536  6 Co 2.87-2.97, 2 Al 3.10-3.20
Ho 0.9994 0.2932 0.1464  6 Co 2.87-2.97, 2 Al 3.10-3.20
Al 0.3749 0.6251 0.2500  4 Co 2.52
Al 0.6251 0.3749 0.7500  4 Co 2.52
Co 0.2114 0.5042 0.4942  1 Co 2.33, 2 Al 2.52
Co 0.4958 0.7886 0.0058  1 Co 2.33, 2 Al 2.52
Co 0.5042 0.2114 0.9942  1 Co 2.33, 2 Al 2.52
Co 0.7886 0.4958 0.5058  1 Co 2.33, 2 Al 2.52

Computed properties:
Calculated density   8.6 g/cm³
Symmetry   C2/c (15)
Total magnetization   0.00 Bohr magnetons per cell
Formation energy   -0.409 eV/atom



Record 10
DFT (PBE) results for an optimized crystal structure of Ho2Al5Co4.

a b c (Å): 8.6899 7.8010 5.3348
angles (deg): 80.46 62.29 37.26
Last column: nearest neighbours and their distance in Å.
Atoms (fractional coordinates):
Ho 0.1449 0.1449 0.8551  6 Co 3.01-3.21, 4 Al 3.08
Ho 0.8551 0.8551 0.1449  6 Co 3.01-3.21, 4 Al 3.08
Al 0.0000 0.0000 0.5000  4 Co 2.46, 4 Al 2.63-2.67
Al 0.2500 0.2500 0.2500  4 Co 2.39, 2 Al 2.63
Al 0.5000 0.5000 0.0000  4 Co 2.46, 4 Al 2.63-2.67
Al 0.5000 0.5000 0.5000  4 Co 2.37
Al 0.7500 0.7500 0.7500  4 Co 2.39, 2 Al 2.63
Co 0.2163 0.5278 0.4722  5 Al 2.37-2.46
Co 0.4722 0.7837 0.2163  5 Al 2.37-2.46
Co 0.5278 0.2163 0.7837  5 Al 2.37-2.46
Co 0.7837 0.4722 0.5278  5 Al 2.37-2.46

Computed properties:
Calculated density   6.5 g/cm³
Symmetry   Fmmm (69)
Total magnetization   0.00 Bohr magnetons per cell
Formation energy   -0.396 eV/atom



Record 11
DFT (PBE) results for an optimized crystal structure of Ho2Mn2AlCo5.

a b c (Å): 9.4461 9.4461 3.2752
angles (deg): 90.00 90.00 90.00
Last column: nearest neighbours and their distance in Å.
Atoms (fractional coordinates):
Ho 0.1774 0.3226 0.0000  3 Mn 2.67-2.88, 2 Co 2.88
Ho 0.3226 0.8226 0.0000  3 Mn 2.67-2.88, 2 Co 2.88
Ho 0.6774 0.1774 0.0000  3 Mn 2.67-2.88, 2 Co 2.88
Ho 0.8226 0.6774 0.0000  3 Mn 2.67-2.88, 2 Co 2.88
Mn 0.1230 0.6230 0.0000  6 Co 2.32-2.40
Mn 0.3770 0.1230 0.0000  6 Co 2.32-2.40
Mn 0.6230 0.8770 0.0000  6 Co 2.32-2.40
Mn 0.8770 0.3770 0.0000  6 Co 2.32-2.40
Al 0.0000 0.0000 0.0000  8 Co 2.57
Al 0.5000 0.5000 0.0000  8 Co 2.57
Co 0.0000 0.5000 0.5000  4 Mn 2.32
Co 0.0593 0.7982 0.5000  2 Mn 2.40, 2 Al 2.57
Co 0.2018 0.0593 0.5000  2 Mn 2.40, 2 Al 2.57
Co 0.2982 0.5593 0.5000  2 Mn 2.40, 2 Al 2.57
Co 0.4407 0.2982 0.5000  2 Mn 2.40, 2 Al 2.57
Co 0.5000 0.0000 0.5000  4 Mn 2.32
Co 0.5593 0.7018 0.5000  2 Mn 2.40, 2 Al 2.57
Co 0.7018 0.4407 0.5000  2 Mn 2.40, 2 Al 2.57
Co 0.7982 0.9407 0.5000  2 Mn 2.40, 2 Al 2.57
Co 0.9407 0.2018 0.5000  2 Mn 2.40, 2 Al 2.57

Computed properties:
Calculated density   8.7 g/cm³
Symmetry   P4/mbm (127)
Total magnetization   16.94 Bohr magnetons per cell
Formation energy   -0.041 eV/atom



Record 12
DFT (PBE) results for an optimized crystal structure of Ho2MnAl12Co3.

a b c (Å): 11.5552 11.5552 11.5552
angles (deg): 28.68 28.68 28.68
Last column: nearest neighbours and their distance in Å.
Atoms (fractional coordinates):
Ho 0.1386 0.1386 0.1386  9 Al 2.99-3.17
Ho 0.8614 0.8614 0.8614  9 Al 2.99-3.17
Mn 0.5000 0.5000 0.5000  6 Al 2.44
Al 0.1079 0.1079 0.6376  2 Co 2.35
Al 0.1079 0.6376 0.1079  2 Co 2.35
Al 0.1099 0.6144 0.6144  1 Mn 2.44, 2 Al 2.72
Al 0.3624 0.8921 0.8921  2 Co 2.35
Al 0.3856 0.3856 0.8901  1 Mn 2.44, 2 Al 2.72
Al 0.3856 0.8901 0.3856  1 Mn 2.44, 2 Al 2.72
Al 0.6144 0.1099 0.6144  1 Mn 2.44, 2 Al 2.72
Al 0.6144 0.6144 0.1099  1 Mn 2.44, 2 Al 2.72
Al 0.6376 0.1079 0.1079  2 Co 2.35
Al 0.8901 0.3856 0.3856  1 Mn 2.44, 2 Al 2.72
Al 0.8921 0.3624 0.8921  2 Co 2.35
Al 0.8921 0.8921 0.3624  2 Co 2.35
Co 0.0000 0.5000 0.5000  4 Al 2.35
Co 0.5000 0.0000 0.5000  4 Al 2.35
Co 0.5000 0.5000 0.0000  4 Al 2.35

Computed properties:
Calculated density   4.7 g/cm³
Symmetry   R-3m (166)
Total magnetization   1.72 Bohr magnetons per cell
Formation energy   -0.052 eV/atom



> Which value of calculated density does entry 5 give?

8.1 g/cm³



Repeat the second record exactly.
DFT (PBE) results for an optimized crystal structure of Ho2AlCo.

a b c (Å): 3.4047 3.4047 7.2208
angles (deg): 90.00 90.00 90.00
Last column: nearest neighbours and their distance in Å.
Atoms (fractional coordinates):
Ho 0.0000 0.0000 0.2246  4 Co 2.90, 4 Al 3.12, 1 Ho 3.24
Ho 0.0000 0.0000 0.7754  4 Co 2.90, 4 Al 3.12, 1 Ho 3.24
Al 0.5000 0.5000 0.5000  8 Ho 3.12, 4 Al 3.40
Co 0.5000 0.5000 0.0000  8 Ho 2.90

Computed properties:
Calculated density   8.2 g/cm³
Symmetry   P4/mmm (123)
Total magnetization   0.59 Bohr magnetons per cell
Formation energy   -0.297 eV/atom